An optimized crystal structure of PmNd4Dy5. Source: Alexandria, functional GGA-PBE.

abc: 3.622 3.622 25.326
angles: 90.00 90.00 90.00
Fractional positions:
Pm 0.000 0.000 0.000
Nd 0.000 0.000 0.200
Nd 0.000 0.000 0.400
Nd 0.000 0.000 0.600
Nd 0.000 0.000 0.800
Dy 0.500 0.500 0.099
Dy 0.500 0.500 0.300
Dy 0.500 0.500 0.500
Dy 0.500 0.500 0.700
Dy 0.500 0.500 0.901

Summary:
The energy above the lowest structure with this stoichiometry is 0.000 kcal/mol of atoms. The total energy is -46.67 eV/cell.

***

An optimized crystal structure of Pm2NdDy3. Source: Alexandria, functional GGA-PBE.

abc: 3.521 10.359 11.818
angles: 108.27 98.57 90.00
Fractional positions:
Pm 0.691 0.372 0.382
Pm 0.309 0.628 0.618
Pm 0.067 0.139 0.135
Pm 0.933 0.861 0.865
Nd 0.687 0.037 0.373
Nd 0.313 0.963 0.627
Dy 0.695 0.715 0.390
Dy 0.932 0.238 0.863
Dy 0.559 0.446 0.118
Dy 0.305 0.285 0.610
Dy 0.441 0.554 0.882
Dy 0.068 0.762 0.137

Summary:
The energy above the lowest structure with this stoichiometry is 0.000 kcal/mol of atoms. The total energy is -54.71 eV/cell.

***

An optimized crystal structure of Pm2NdDy8. Source: Alexandria, functional GGA-PBE.

abc: 5.539 8.131 9.417
angles: 115.58 107.11 90.00
Fractional positions:
Pm 0.200 0.700 0.400
Pm 0.800 0.300 0.600
Nd 0.500 0.000 0.000
Dy 0.638 0.845 0.277
Dy 0.362 0.569 0.723
Dy 0.162 0.162 0.323
Dy 0.000 0.294 0.000
Dy 0.838 0.838 0.677
Dy 0.638 0.431 0.277
Dy 0.362 0.155 0.723
Dy 0.000 0.706 0.000

Summary:
The energy above the lowest structure with this stoichiometry is 0.000 kcal/mol of atoms. The total energy is -49.85 eV/cell.

***

An optimized crystal structure of Pm5Nd2Dy3. Source: Alexandria, functional GGA-PBE.

abc: 6.889 12.469 12.469
angles: 44.66 73.96 73.96
Fractional positions:
Pm 0.250 0.500 0.500
Pm 0.750 0.500 0.500
Pm 0.498 0.752 0.752
Pm 0.002 0.248 0.248
Pm 0.502 0.248 0.248
Pm 0.998 0.752 0.752
Pm 0.127 0.467 0.280
Pm 0.873 0.533 0.720
Pm 0.627 0.280 0.467
Pm 0.373 0.720 0.533
Nd 0.122 0.778 0.977
Nd 0.878 0.222 0.023
Nd 0.622 0.977 0.778
Nd 0.378 0.023 0.222
Dy 0.250 0.000 0.000
Dy 0.750 0.000 0.000
Dy 0.379 0.369 0.872
Dy 0.621 0.631 0.128
Dy 0.879 0.872 0.369
Dy 0.121 0.128 0.631

Summary:
The energy above the lowest structure with this stoichiometry is 4.255 kcal/mol of atoms. The total energy is -86.79 eV/cell.

***

Number 1: energy of formation from the pure elements 0.02 eV per atom, magnetization 0.000 μB/atom, D(E_F) 13.628 states/eV/f.u.. Number 2: energy of formation from the pure elements 0.12 eV per atom, magnetization 0.000 μB/atom, D(E_F) 9.250 states/eV/f.u.. Number 3: energy of formation from the pure elements 0.11 eV per atom, magnetization 0.000 μB/atom, D(E_F) 14.996 states/eV/f.u.. Number 4: energy of formation from the pure elements 0.37 eV per atom, magnetization 0.000 μB/atom, D(E_F) 14.813 states/eV/f.u..